[1]
Compound: PuVS
Source: Alexandria
Functional: PBE
Structure: optimized geometry

CIF file:
```
data_PuVS
_chemical_formula_sum 'Pu4 V4 S4'
_symmetry_space_group_name_H-M 'P 1'
_symmetry_Int_Tables_number 1
_symmetry_space_group_name_Hall 'P 1'
_cell_length_a 8.691
_cell_length_b 3.358
_cell_length_c 6.555
_cell_angle_alpha 90.00
_cell_angle_beta 90.00
_cell_angle_gamma 90.00
loop_
_atom_site_label
_atom_site_type_symbol
_atom_site_fract_x
_atom_site_fract_y
_atom_site_fract_z
Pu1 Pu 0.064 0.250 0.086
Pu2 Pu 0.436 0.750 0.586
Pu3 Pu 0.564 0.250 0.414
Pu4 Pu 0.936 0.750 0.914
V1 V 0.100 0.250 0.591
V2 V 0.400 0.750 0.091
V3 V 0.600 0.250 0.909
V4 V 0.900 0.750 0.409
S1 S 0.185 0.750 0.364
S2 S 0.315 0.250 0.864
S3 S 0.685 0.750 0.136
S4 S 0.815 0.250 0.636
```

Properties
* density: 11356 kg/m3
* total moment: 0.00 μB/cell
* energy relative to the elements, uncorrected: -51 kJ per mole of atoms

[2]
Compound: Sm2GdBr
Source: Alexandria
Functional: PBE
Structure: optimized geometry

CIF file:
```
data_Sm2GdBr
_chemical_formula_sum 'Sm2 Gd1 Br1'
_symmetry_space_group_name_H-M 'P 1'
_symmetry_Int_Tables_number 1
_symmetry_space_group_name_Hall 'P 1'
_cell_length_a 3.571
_cell_length_b 3.571
_cell_length_c 9.648
_cell_angle_alpha 90.00
_cell_angle_beta 90.00
_cell_angle_gamma 90.00
loop_
_atom_site_label
_atom_site_type_symbol
_atom_site_fract_x
_atom_site_fract_y
_atom_site_fract_z
Sm1 Sm 0.000 0.000 0.235
Sm2 Sm 0.000 0.000 0.765
Gd1 Gd 0.500 0.500 0.500
Br1 Br 0.500 0.500 0.000
```

Properties
* density: 7259 kg/m3
* total moment: 7.23 μB/cell
* energy relative to the elements, uncorrected: -43 kJ per mole of atoms

[3]
Compound: PdN2F
Source: Alexandria
Functional: PBE
Structure: optimized geometry

CIF file:
```
data_PdN2F
_chemical_formula_sum 'Pd2 N4 F2'
_symmetry_space_group_name_H-M 'P 1'
_symmetry_Int_Tables_number 1
_symmetry_space_group_name_Hall 'P 1'
_cell_length_a 5.551
_cell_length_b 5.551
_cell_length_c 5.551
_cell_angle_alpha 125.37
_cell_angle_beta 125.37
_cell_angle_gamma 80.93
loop_
_atom_site_label
_atom_site_type_symbol
_atom_site_fract_x
_atom_site_fract_y
_atom_site_fract_z
Pd1 Pd 0.000 0.000 0.000
Pd2 Pd 0.750 0.250 0.500
N1 N 0.066 0.625 0.941
N2 N 0.375 0.316 0.441
N3 N 0.684 0.125 0.059
N4 N 0.875 0.934 0.559
F1 F 0.250 0.750 0.500
F2 F 0.500 0.500 0.000
```

Properties
* density: 4649 kg/m3
* total moment: 0.00 μB/cell
* energy relative to the elements, uncorrected: 135 kJ per mole of atoms

[4]
Compound: Be17PdW
Source: Alexandria
Functional: PBE
Structure: optimized geometry

CIF file:
```
data_Be17PdW
_chemical_formula_sum 'Be17 Pd1 W1'
_symmetry_space_group_name_H-M 'P 1'
_symmetry_Int_Tables_number 1
_symmetry_space_group_name_Hall 'P 1'
_cell_length_a 5.504
_cell_length_b 5.504
_cell_length_c 5.504
_cell_angle_alpha 82.99
_cell_angle_beta 82.99
_cell_angle_gamma 82.99
loop_
_atom_site_label
_atom_site_type_symbol
_atom_site_fract_x
_atom_site_fract_y
_atom_site_fract_z
Be1 Be 0.052 0.052 0.052
Be2 Be 0.139 0.139 0.660
Be3 Be 0.139 0.660 0.139
Be4 Be 0.154 0.451 0.850
Be5 Be 0.154 0.850 0.451
Be6 Be 0.256 0.256 0.256
Be7 Be 0.316 0.805 0.805
Be8 Be 0.451 0.154 0.850
Be9 Be 0.451 0.850 0.154
Be10 Be 0.501 0.501 0.997
Be11 Be 0.501 0.997 0.501
Be12 Be 0.660 0.139 0.139
Be13 Be 0.805 0.316 0.805
Be14 Be 0.805 0.805 0.316
Be15 Be 0.850 0.154 0.451
Be16 Be 0.850 0.451 0.154
Be17 Be 0.997 0.501 0.501
Pd1 Pd 0.504 0.504 0.504
W1 W 0.812 0.812 0.812
```

Properties
* density: 4511 kg/m3
* total moment: 0.00 μB/cell
* calculated formation energy: -0.14 eV per atom

[5]
Compound: Pm2HRh
Source: Alexandria
Functional: PBE
Structure: optimized geometry

CIF file:
```
data_Pm2HRh
_chemical_formula_sum 'Pm2 H1 Rh1'
_symmetry_space_group_name_H-M 'P 1'
_symmetry_Int_Tables_number 1
_symmetry_space_group_name_Hall 'P 1'
_cell_length_a 6.570
_cell_length_b 6.570
_cell_length_c 6.570
_cell_angle_alpha 35.49
_cell_angle_beta 35.49
_cell_angle_gamma 35.49
loop_
_atom_site_label
_atom_site_type_symbol
_atom_site_fract_x
_atom_site_fract_y
_atom_site_fract_z
Pm1 Pm 0.245 0.245 0.245
Pm2 Pm 0.755 0.755 0.755
H1 H 0.500 0.500 0.500
Rh1 Rh 0.000 0.000 0.000
```

Properties
* density: 7657 kg/m3
* uncorrected energy: -5.549 eV per atom
* total moment: 0.00 μB/cell

[6]
Compound: Be2V2Se
Source: Alexandria
Functional: PBE
Structure: optimized geometry

CIF file:
```
data_Be2V2Se
_chemical_formula_sum 'Be4 V4 Se2'
_symmetry_space_group_name_H-M 'P 1'
_symmetry_Int_Tables_number 1
_symmetry_space_group_name_Hall 'P 1'
_cell_length_a 6.099
_cell_length_b 6.099
_cell_length_c 3.572
_cell_angle_alpha 90.00
_cell_angle_beta 90.00
_cell_angle_gamma 90.00
loop_
_atom_site_label
_atom_site_type_symbol
_atom_site_fract_x
_atom_site_fract_y
_atom_site_fract_z
Be1 Be 0.130 0.370 0.000
Be2 Be 0.370 0.870 0.000
Be3 Be 0.630 0.130 0.000
Be4 Be 0.870 0.630 0.000
V1 V 0.148 0.648 0.500
V2 V 0.352 0.148 0.500
V3 V 0.648 0.852 0.500
V4 V 0.852 0.352 0.500
Se1 Se 0.000 0.000 0.500
Se2 Se 0.500 0.500 0.500
```

Properties
* density: 4970 kg/m3
* total moment: 0.00 μB/cell
* energy relative to the elements, uncorrected: 8 kJ per mole of atoms

[7]
Compound: Pm4Cd3Ir
Source: Alexandria
Functional: PBE
Structure: optimized geometry

CIF file:
```
data_Pm4Cd3Ir
_chemical_formula_sum 'Pm4 Cd3 Ir1'
_symmetry_space_group_name_H-M 'P 1'
_symmetry_Int_Tables_number 1
_symmetry_space_group_name_Hall 'P 1'
_cell_length_a 3.690
_cell_length_b 3.690
_cell_length_c 15.552
_cell_angle_alpha 90.00
_cell_angle_beta 90.00
_cell_angle_gamma 90.00
loop_
_atom_site_label
_atom_site_type_symbol
_atom_site_fract_x
_atom_site_fract_y
_atom_site_fract_z
Pm1 Pm 0.000 0.000 0.105
Pm2 Pm 0.000 0.000 0.370
Pm3 Pm 0.000 0.000 0.630
Pm4 Pm 0.000 0.000 0.895
Cd1 Cd 0.500 0.500 0.243
Cd2 Cd 0.500 0.500 0.500
Cd3 Cd 0.500 0.500 0.757
Ir1 Ir 0.500 0.500 0.000
```

Properties
* density: 8699 kg/m3
* total moment: 0.41 μB/cell
* calculated formation energy: -0.41 eV per atom

[8]
Compound: PrHg2Au
Source: Alexandria
Functional: PBE
Structure: optimized geometry

CIF file:
```
data_PrHg2Au
_chemical_formula_sum 'Pr1 Hg2 Au1'
_symmetry_space_group_name_H-M 'P 1'
_symmetry_Int_Tables_number 1
_symmetry_space_group_name_Hall 'P 1'
_cell_length_a 4.484
_cell_length_b 4.484
_cell_length_c 5.009
_cell_angle_alpha 90.00
_cell_angle_beta 90.00
_cell_angle_gamma 90.00
loop_
_atom_site_label
_atom_site_type_symbol
_atom_site_fract_x
_atom_site_fract_y
_atom_site_fract_z
Pr1 Pr 0.000 0.000 0.000
Hg1 Hg 0.000 0.500 0.500
Hg2 Hg 0.500 0.000 0.500
Au1 Au 0.500 0.500 0.000
```

Properties
* density: 12183 kg/m3
* total moment: 0.00 μB/cell
* calculated formation energy: -0.41 eV per atom

Please write out number 2 again, unchanged.
Compound: Sm2GdBr
Source: Alexandria
Functional: PBE
Structure: optimized geometry

CIF file:
```
data_Sm2GdBr
_chemical_formula_sum 'Sm2 Gd1 Br1'
_symmetry_space_group_name_H-M 'P 1'
_symmetry_Int_Tables_number 1
_symmetry_space_group_name_Hall 'P 1'
_cell_length_a 3.571
_cell_length_b 3.571
_cell_length_c 9.648
_cell_angle_alpha 90.00
_cell_angle_beta 90.00
_cell_angle_gamma 90.00
loop_
_atom_site_label
_atom_site_type_symbol
_atom_site_fract_x
_atom_site_fract_y
_atom_site_fract_z
Sm1 Sm 0.000 0.000 0.235
Sm2 Sm 0.000 0.000 0.765
Gd1 Gd 0.500 0.500 0.500
Br1 Br 0.500 0.500 0.000
```

Properties
* density: 7259 kg/m3
* total moment: 7.23 μB/cell
* energy relative to the elements, uncorrected: -43 kJ per mole of atoms